PBE Ac2GaSe3, optimized geometry; density of states at the Fermi level = 1.1 states/eV/cell; space-group type = Immm (71); E_form (uncorrected) = -1.437 eV/atom; total energy = -30.32 eV per cell
1.0
-2.051 2.541 8.504
2.051 -2.541 8.504
2.051 2.541 -8.504
Ac Ga Se
2 1 3
Direct
0.142 0.142 0.000
0.858 0.858 0.000
0.500 0.500 0.000
0.000 0.500 0.500
0.326 0.326 0.000
0.674 0.674 0.000